! GGA+U Ba2PaMn3O12, optimized geometry; values from VASP
! **Spin magnetization**: 6.0 μB/f.u.
! **Calculated volume**: 241.71 Å³ per cell
! **Space group**: No. 166
! **Raw total energy**: -7.166 eV/atom
&SYSTEM
  ibrav = 0, nat = 18, ntyp = 4
/
ATOMIC_SPECIES
Ba 137.33 Ba.upf
Pa 231.04 Pa.upf
Mn 54.94 Mn.upf
O 16.00 O.upf
ATOMIC_POSITIONS angstrom
Ba -2.771 -9.492 1.282
Ba -1.779 -6.095 0.823
Pa 0.000 0.000 0.000
Mn -2.737 -2.012 0.415
Mn 0.112 -3.096 -1.453
Mn 0.349 -2.686 2.091
O -0.859 -7.652 3.130
O -4.334 -11.070 -0.185
O -1.333 -11.726 1.445
O -4.602 -6.834 1.097
O -4.104 -10.672 3.262
O -1.146 -8.149 -1.169
O -3.691 -7.935 -1.024
O -0.217 -4.517 2.291
O -3.218 -3.861 0.661
O 0.052 -8.753 1.008
O -0.447 -4.915 -1.156
O -3.404 -7.438 3.275
CELL_PARAMETERS angstrom
-5.473 -4.023 0.830
0.225 -6.192 -2.906
0.698 -5.372 4.182